No. 1
LiTa2Cl | GGA-PBE | optimized geometry

The calculation puts the excess energy over the best structure of this formula in the dataset at 126 meV per atom. The magnetic moment is 0.00 μB per formula unit.

The space group is P4mm (No. 99) and the conventional cell measures 2.913, 2.913 and 8.427 Å, with angles of 90.00, 90.00 and 90.00 degrees. The inequivalent atoms are Li at (0.000, 0.000, 0.000), Ta at (0.000, 0.000, 0.542), Ta at (0.500, 0.500, 0.286) and Cl at (0.500, 0.500, 0.764).


No. 2
KS2Br2 | GGA-PBE | optimized geometry

The calculation puts the excess energy over the best structure of this formula in the dataset at 0 meV per atom. The magnetic moment is 0.00 μB per formula unit.

The space group is I4/mmm (No. 139) and the conventional cell measures 5.879, 5.879 and 8.839 Å, with angles of 90.00, 90.00 and 90.00 degrees. The inequivalent atoms are K at (0.000, 0.000, 0.000), S at (0.000, 0.000, 0.394) and Br at (0.000, 0.500, 0.250).